Computed, not measured: TlTe2 after structural relaxation at the PBEsol level of DFT.

```
3
Lattice="-0.133 -1.272 2.886 3.147 0.135 0.204 -2.107 8.971 2.131" Properties=species:S:1:pos:R:3 pbc="T T T"
Te 1.325 1.983 2.661
Te -0.418 5.852 2.560
Tl 0.000 0.000 0.000
```

Summary:
DOS(E_F) = 1.26 states/eV/f.u.
raw formation energy = -0.021 eV per atom
total energy = -3.25 eV/atom

Computed, not measured: LaIn2Se after structural relaxation at the PBEsol level of DFT.

```
4
Lattice="4.310 0.000 0.000 0.000 4.310 0.000 0.000 0.000 5.378" Properties=species:S:1:pos:R:3 pbc="T T T"
In 0.000 2.155 0.000
In 2.155 0.000 0.000
La 2.155 2.155 2.689
Se 0.000 0.000 2.689
```

Summary:
DOS(E_F) = 2.99 states/eV/f.u.
raw formation energy = -0.792 eV per atom
total energy = -4.58 eV/atom

Computed, not measured: NaTiO2 after structural relaxation at the PBEsol level of DFT.

```
4
Lattice="2.956 0.000 0.000 1.478 2.560 0.000 1.478 0.853 5.488" Properties=species:S:1:pos:R:3 pbc="T T T"
O 1.478 0.853 1.592
O 4.434 2.560 3.896
Na 0.000 0.000 0.000
Ti 2.956 1.707 2.744
```

Summary:
DOS(E_F) = 1.80 states/eV/f.u.
raw formation energy = -2.491 eV per atom
total energy = -7.55 eV/atom

Computed, not measured: ZrHgRu after structural relaxation at the PBEsol level of DFT.

```
3
Lattice="-1.037 4.271 0.703 -2.873 2.066 -2.699 -4.053 1.091 1.480" Properties=species:S:1:pos:R:3 pbc="T T T"
Hg -3.982 3.714 -0.258
Ru -1.991 1.857 -0.129
Zr 0.000 0.000 0.000
```

Summary:
DOS(E_F) = 0.96 states/eV/f.u.
formation energy from the elements = 0.110 eV/atom
total energy = -6.50 eV/atom

Computed, not measured: YCo4Ir after structural relaxation at the PBEsol level of DFT.

```
6
Lattice="-1.044 1.040 4.580 -4.460 -0.689 1.667 -0.876 -3.545 3.132" Properties=species:S:1:pos:R:3 pbc="T T T"
Y 0.000 0.000 0.000
Co -4.615 -1.543 4.353
Co -2.396 -1.200 3.523
Co -2.915 -0.683 5.802
Co -2.832 -2.964 5.082
Ir -4.785 -2.396 7.035
```

Summary:
DOS(E_F) = 6.29 states/eV/f.u.
formation energy from the elements = -0.095 eV/atom
total energy = -8.03 eV/atom

Computed, not measured: La3Ir after structural relaxation at the PBEsol level of DFT.

```
4
Lattice="4.003 0.000 0.000 2.001 3.467 0.000 2.001 1.156 9.472" Properties=species:S:1:pos:R:3 pbc="T T T"
La 4.003 2.311 4.736
La 6.004 3.467 7.857
La 2.001 1.156 1.615
Ir 0.000 0.000 0.000
```

Summary:
DOS(E_F) = 4.17 states/eV/f.u.
formation energy from the elements = -0.290 eV/atom
total energy = -6.76 eV/atom

Computed, not measured: Cu3PCl after structural relaxation at the PBEsol level of DFT.

```
5
Lattice="4.321 0.000 0.000 0.000 4.321 0.000 0.000 0.000 4.321" Properties=species:S:1:pos:R:3 pbc="T T T"
Cu 2.161 0.000 0.000
Cu 0.000 2.161 0.000
Cu 0.000 0.000 2.161
Cl 0.000 0.000 0.000
P 2.161 2.161 2.161
```

Summary:
DOS(E_F) = 2.91 states/eV/f.u.
raw formation energy = 0.854 eV per atom
total energy = -3.31 eV/atom

Computed, not measured: AuNF2 after structural relaxation at the PBEsol level of DFT.

```
4
Lattice="-1.599 -2.243 1.073 1.252 -2.648 0.401 1.705 0.230 7.093" Properties=species:S:1:pos:R:3 pbc="T T T"
Au 0.000 0.000 0.000
F 0.157 -4.377 3.301
F 1.202 -0.285 5.267
N 0.679 -2.331 4.284
```

Summary:
DOS(E_F) = 3.93 states/eV/f.u.
raw formation energy = 0.837 eV per atom
total energy = -3.24 eV/atom

Computed, not measured: YSc2Fe after structural relaxation at the PBEsol level of DFT.

```
4
Lattice="-1.428 -2.542 -1.149 -0.380 -1.066 2.922 -7.413 3.948 0.476" Properties=species:S:1:pos:R:3 pbc="T T T"
Sc -1.291 0.687 0.083
Sc -6.123 3.260 0.393
Fe -0.904 -1.804 0.887
Y -4.611 0.169 1.125
```

Summary:
DOS(E_F) = 2.93 states/eV/f.u.
formation energy from the elements = -0.041 eV/atom
total energy = -7.29 eV/atom

Computed, not measured: Li2SmIn after structural relaxation at the PBEsol level of DFT.

```
4
Lattice="-1.574 4.497 -0.856 -1.772 1.157 -4.354 -4.736 0.845 -0.539" Properties=species:S:1:pos:R:3 pbc="T T T"
Li -6.061 4.875 -4.312
Li -2.020 1.625 -1.437
In -4.041 3.250 -2.874
Sm 0.000 0.000 0.000
```

Summary:
DOS(E_F) = 0.81 states/eV/f.u.
formation energy from the elements = -0.331 eV/atom
total energy = -3.33 eV/atom

Computed, not measured: Li3ScIn after structural relaxation at the PBEsol level of DFT.

```
5
Lattice="-4.627 1.136 1.752 0.290 -3.870 3.273 2.068 3.083 3.462" Properties=species:S:1:pos:R:3 pbc="T T T"
Li 1.034 1.542 1.731
Li 0.145 -1.935 1.637
Li -2.314 0.568 0.876
In -1.135 0.175 4.244
Sc 0.000 0.000 0.000
```

Summary:
DOS(E_F) = 8.99 states/eV/f.u.
formation energy from the elements = 0.897 eV/atom
total energy = -2.20 eV/atom

Computed, not measured: MoPb2Br after structural relaxation at the PBEsol level of DFT.

```
4
Lattice="-4.346 2.583 -1.122 -4.532 -2.501 -0.152 -3.542 0.833 3.685" Properties=species:S:1:pos:R:3 pbc="T T T"
Pb 0.000 0.000 0.000
Pb -9.315 0.686 1.809
Mo -3.105 0.229 0.603
Br -6.210 0.457 1.206
```

Summary:
DOS(E_F) = 2.45 states/eV/f.u.
raw formation energy = 0.793 eV per atom
total energy = -4.62 eV/atom

Computed, not measured: LiCa2Si3 after structural relaxation at the PBEsol level of DFT.

```
24
Lattice="4.322 0.000 0.000 0.000 10.426 0.000 0.000 0.000 11.137" Properties=species:S:1:pos:R:3 pbc="T T T"
Li 2.161 8.978 3.128
Li 0.000 6.660 8.696
Li 0.000 3.765 2.441
Li 2.161 1.447 8.009
Si 0.000 4.078 5.125
Si 0.000 10.074 4.460
Si 0.000 0.351 6.677
Si 0.000 7.762 4.067
Si 2.161 2.549 1.502
Si 2.161 5.564 10.028
Si 2.161 9.291 0.443
Si 2.161 4.861 1.109
Si 2.161 7.877 9.635
Si 0.000 6.347 6.012
Si 2.161 1.135 10.694
Si 0.000 2.664 7.070
Ca 0.000 0.526 1.676
Ca 2.161 5.739 3.893
Ca 2.161 1.858 4.748
Ca 2.161 8.568 6.389
Ca 2.161 4.687 7.244
Ca 0.000 3.355 10.317
Ca 0.000 7.071 0.820
Ca 0.000 9.900 9.461
```

Summary:
DOS(E_F) = 1.21 states/eV/f.u.
raw formation energy = -0.492 eV per atom
total energy = -4.40 eV/atom

Computed, not measured: AlGeP2Cl after structural relaxation at the PBEsol level of DFT.

```
5
Lattice="-4.245 1.220 1.011 -0.769 -4.223 1.869 1.446 1.579 4.164" Properties=species:S:1:pos:R:3 pbc="T T T"
P -0.384 -2.112 0.934
P 0.723 0.789 2.082
Ge -1.784 -0.712 3.522
Cl -2.122 0.610 0.506
Al 0.000 0.000 0.000
```

Summary:
DOS(E_F) = 3.90 states/eV/f.u.
raw formation energy = 0.328 eV per atom
total energy = -4.20 eV/atom

Computed, not measured: Ca3Ge13Ir4 after structural relaxation at the PBEsol level of DFT.

```
40
Lattice="8.984 0.000 0.000 0.000 8.984 0.000 0.000 0.000 8.984" Properties=species:S:1:pos:R:3 pbc="T T T"
Ge 4.492 7.176 3.203
Ge 1.808 3.203 4.492
Ge 2.684 0.000 7.695
Ge 4.492 1.808 5.781
Ge 4.492 7.176 5.781
Ge 4.492 1.808 3.203
Ge 0.000 1.289 6.300
Ge 3.203 4.492 1.808
Ge 2.684 0.000 1.289
Ge 0.000 7.695 6.300
Ge 0.000 0.000 0.000
Ge 6.300 0.000 7.695
Ge 1.289 2.684 0.000
Ge 7.695 2.684 0.000
Ge 0.000 1.289 2.684
Ge 7.695 6.300 0.000
Ge 5.781 4.492 1.808
Ge 0.000 7.695 2.684
Ge 1.289 6.300 0.000
Ge 5.781 4.492 7.176
Ge 4.492 4.492 4.492
Ge 6.300 0.000 1.289
Ge 7.176 5.781 4.492
Ge 3.203 4.492 7.176
Ge 1.808 5.781 4.492
Ge 7.176 3.203 4.492
Ca 6.738 0.000 4.492
Ca 4.492 6.738 0.000
Ca 0.000 4.492 2.246
Ca 2.246 0.000 4.492
Ca 0.000 4.492 6.738
Ca 4.492 2.246 0.000
Ir 2.246 2.246 6.738
Ir 6.738 6.738 6.738
Ir 6.738 6.738 2.246
Ir 6.738 2.246 6.738
Ir 2.246 6.738 6.738
Ir 2.246 2.246 2.246
Ir 6.738 2.246 2.246
Ir 2.246 6.738 2.246
```

Summary:
DOS(E_F) = 6.97 states/eV/f.u.
formation energy from the elements = -0.472 eV/atom
total energy = -5.97 eV/atom

Computed, not measured: AgHgMo2 after structural relaxation at the PBEsol level of DFT.

```
4
Lattice="-1.068 3.377 -1.420 -3.056 -1.637 -1.595 -2.382 0.814 3.728" Properties=species:S:1:pos:R:3 pbc="T T T"
Mo -0.534 1.689 -0.710
Mo -1.528 -0.819 -0.797
Ag -3.253 1.277 0.356
Hg -1.191 0.407 1.864
```

Summary:
DOS(E_F) = 1.60 states/eV/f.u.
formation energy from the elements = 0.467 eV/atom
total energy = -6.39 eV/atom

Computed, not measured: ScH2Pd after structural relaxation at the PBEsol level of DFT.

```
8
Lattice="-0.762 4.132 -0.214 -3.841 -0.625 1.600 4.036 -1.207 3.685" Properties=species:S:1:pos:R:3 pbc="T T T"
Sc -2.301 1.753 0.693
Sc 0.487 2.340 2.082
Pd 0.000 0.000 0.000
Pd -1.053 -0.039 2.989
H 2.653 -0.434 2.854
H -2.597 0.485 2.252
H -0.050 1.254 3.714
H -1.138 3.295 1.323
```

Summary:
DOS(E_F) = 3.02 states/eV/f.u.
total energy = -5.22 eV/atom

Computed, not measured: CrB2PdAu after structural relaxation at the PBEsol level of DFT.

```
5
Lattice="-1.419 -3.726 0.251 2.753 -0.862 2.764 -3.269 1.496 3.723" Properties=species:S:1:pos:R:3 pbc="T T T"
Au 0.000 0.000 0.000
B -0.709 -1.863 0.126
B 1.377 -0.431 1.382
Cr -0.968 -1.547 3.369
Pd -1.635 0.748 1.861
```

Summary:
DOS(E_F) = 2.16 states/eV/f.u.
formation energy from the elements = 1.382 eV/atom
total energy = -5.45 eV/atom

Computed, not measured: CdFeW2 after structural relaxation at the PBEsol level of DFT.

```
4
Lattice="-2.554 1.275 -0.088 -1.089 -1.892 4.186 3.408 3.667 0.552" Properties=species:S:1:pos:R:3 pbc="T T T"
W 0.272 0.791 3.543
W -0.945 -1.605 4.175
Cd 1.549 3.267 2.359
Fe -0.614 2.063 1.359
```

Summary:
DOS(E_F) = 3.07 states/eV/f.u.
formation energy from the elements = 0.568 eV/atom
total energy = -8.88 eV/atom

Computed, not measured: ZnCo2Re after structural relaxation at the PBEsol level of DFT.

```
4
Lattice="-1.861 0.335 1.913 -2.507 -2.723 -1.962 1.742 -3.233 2.262" Properties=species:S:1:pos:R:3 pbc="T T T"
Co -0.060 -1.449 2.087
Co 0.000 0.000 0.000
Re -2.184 -1.194 -0.025
Zn -0.383 -2.978 0.150
```

Summary:
DOS(E_F) = 5.15 states/eV/f.u.
formation energy from the elements = 0.331 eV/atom
total energy = -7.27 eV/atom